The following is a DFT calculation (PBE with a Hubbard U) of a relaxed structure of NdAlCr2O6.

Properties
Total magnetization in Bohr magnetons per cell: 6.0
DOS(E_F) in states/eV/f.u.: 0.0
VASP energy in eV for the cell shown: -78.20

Unit cell a=5.2707 b=5.2707 c=5.5307 alpha=61.54 beta=61.54 gamma=60.00
Fractional coordinates of all 10 atoms:
Nd 0.7842 0.7842 0.6474
Al 0.3189 0.3189 0.0432
Cr 0.5211 0.5211 0.4369
Cr 0.0104 0.0104 0.9689
O 0.6035 0.2540 0.2199
O 0.2540 0.9226 0.2199
O 0.9225 0.6035 0.2199
O 0.3469 0.7191 0.7531
O 0.7191 0.1809 0.7531
O 0.1809 0.3469 0.7531